KMgI2: optimized geometry, PBE-GGA.

Lattice parameters (Å, degrees): 4.304 4.304 11.808 79.50 79.50 60.00
Fractional coordinates of all 4 atoms:
I 0.119 0.119 0.643
I 0.881 0.881 0.357
K 0.000 0.000 0.000
Mg 0.500 0.500 0.500

Output
* crystal system: trigonal
* ΔE_f (raw): -734.3 meV per atom
* magnetic moment: 0.0 μB/f.u.